Material: Sc2CrNi
Method: DFT, PBEsol
State: optimized geometry

```
Sc2CrNi
1.0
0.0000 3.1805 3.1805
3.1805 0.0000 3.1805
3.1805 3.1805 0.0000
Sc Cr Ni
2 1 1
direct
0.0000 0.0000 0.0000 Sc
0.2500 0.2500 0.2500 Sc
0.5000 0.5000 0.5000 Cr
0.7500 0.7500 0.7500 Ni
```

Output
The size of the total moment comes out at 1.10 μB per atom. Its formation energy is 0.18 eV per atom. The calculation puts the total energy at -28.893 eV for the cell shown. Its volume is 64.3 Å³/cell.

---

Material: ScCrNi2
Method: DFT, PBEsol
State: optimized geometry

```
ScCrNi2
1.0
2.9757 0.0000 0.0000
0.0000 2.9757 0.0000
0.0000 0.0000 5.8523
Sc Cr Ni
1 1 2
direct
0.0000 0.0000 0.0000 Sc
0.5000 0.5000 0.3126 Cr
0.0000 0.0000 0.5056 Ni
0.5000 0.5000 0.7271 Ni
```

Output
The size of the total moment comes out at 0.00 μB per atom. Its formation energy is 0.03 eV per atom. The calculation puts the total energy at -29.029 eV for the cell shown. Its volume is 51.8 Å³/cell.

---

Material: Sc2ZnCrNi
Method: DFT, PBEsol
State: optimized geometry

```
Sc2ZnCrNi
1.0
4.4955 0.0000 0.0000
0.0000 4.4955 0.0000
0.0000 0.0000 4.5660
Sc Zn Cr Ni
2 1 1 1
direct
0.0000 0.5000 0.0000 Sc
0.5000 0.0000 0.0000 Sc
0.0000 0.0000 0.5000 Zn
0.0000 0.0000 0.0000 Cr
0.5000 0.5000 0.5000 Ni
```

Output
The size of the total moment comes out at 0.00 μB per atom. Its formation energy is 0.78 eV per atom. The calculation puts the total energy at -27.309 eV for the cell shown. Its volume is 92.3 Å³/cell.

---

Material: CrNiSe
Method: DFT, PBEsol
State: optimized geometry

```
CrNiSe
1.0
3.8655 0.0000 0.0000
-1.9328 3.3476 0.0000
0.0000 0.0000 3.2861
Cr Ni Se
1 1 1
direct
0.0000 0.0000 0.0000 Cr
0.3333 0.6667 0.4741 Ni
0.6667 0.3333 0.5400 Se
```

Output
The size of the total moment comes out at 1.17 μB per atom. As for the energy relative to the lowest polymorph listed for this composition: 0.0 meV/atom. The calculation puts the total energy at -20.050 eV for the cell shown. Its volume is 42.5 Å³/cell. The formation energy from raw total energies comes out at 0.200 eV/f.u.

---

Material: CrNi2Se
Method: DFT, PBEsol
State: optimized geometry

```
CrNi2Se
1.0
4.0793 -1.5355 0.0000
4.0793 1.5355 0.0000
-0.9028 0.0000 3.9698
Cr Ni Se
1 2 1
direct
0.0000 0.0000 0.0000 Cr
0.2537 0.2537 0.7593 Ni
0.7463 0.7463 0.2407 Ni
0.5000 0.5000 0.5000 Se
```

Output
The size of the total moment comes out at 0.71 μB per atom. The calculation puts the total energy at -25.807 eV for the cell shown. Its volume is 49.7 Å³/cell. The formation energy from raw total energies comes out at 0.600 eV/f.u.

---

Material: CrNiSe
Method: DFT, PBEsol
State: optimized geometry

```
CrNiSe
1.0
-1.6505 1.6505 3.6868
1.6505 -1.6505 3.6868
1.6505 1.6505 -3.6868
Cr Ni Se
1 1 1
direct
0.0000 0.0000 0.0000 Cr
0.6538 0.6538 0.0000 Ni
0.3380 0.3380 0.0000 Se
```

Output
The size of the total moment comes out at 1.06 μB per atom. As for the energy relative to the lowest polymorph listed for this composition: 92.7 meV/atom. The calculation puts the total energy at -19.772 eV for the cell shown. Its volume is 40.2 Å³/cell. The formation energy from raw total energies comes out at 0.478 eV/f.u.

---

Material: CrNi2Se
Method: DFT, PBEsol
State: optimized geometry

```
CrNi2Se
1.0
-1.5450 1.9706 4.0463
1.5450 -1.9706 4.0463
1.5450 1.9706 -4.0463
Cr Ni Se
1 2 1
direct
0.0000 0.0000 0.0000 Cr
0.2700 0.7700 0.5000 Ni
0.7300 0.2300 0.5000 Ni
0.5000 0.5000 0.0000 Se
```

Output
The size of the total moment comes out at 0.78 μB per atom. The calculation puts the total energy at -25.843 eV for the cell shown. Its volume is 49.3 Å³/cell. The formation energy from raw total energies comes out at 0.564 eV/f.u.

---

Material: CrSi2Ni
Method: DFT, PBEsol
State: optimized geometry

```
CrSi2Ni
1.0
1.3159 0.7597 7.6266
-1.3159 0.7597 7.6266
0.0000 -1.5195 7.6266
Cr Si Ni
1 2 1
direct
0.0000 0.0000 0.0000 Cr
0.2483 0.2483 0.2483 Si
0.7517 0.7517 0.7517 Si
0.5000 0.5000 0.5000 Ni
```

Output
The size of the total moment comes out at 0.14 μB per atom. The calculation puts the total energy at -28.953 eV for the cell shown. Its volume is 45.7 Å³/cell. The formation energy from raw total energies comes out at -1.060 eV/f.u.